UBePb | PBE | optimized geometry

Total energy   -0.2088 hartree per atom

Unit cell a=6.4839 b=6.4839 c=6.4839 alpha=90.00 beta=90.00 gamma=90.00
Closest atoms and distances in Å follow each position.
Space group F-43m (No. 216)
Asymmetric unit:
U1 0.0000 0.0000 0.0000 x4  4 Be 2.81
Be1 0.2500 0.2500 0.7500 x4  4 U 2.81, 4 Pb 2.81
Pb1 0.0000 0.0000 0.5000 x4  4 Be 2.81